The following is a DFT calculation (PBE) of a relaxed DyPdI crystal.

Output
E_form (uncorrected) in eV/atom: -1.04

Geometry as CIF:
```
data_DyPdI
_cell_length_a 7.431
_cell_length_b 4.294
_cell_length_c 12.318
_cell_angle_alpha 90.00
_cell_angle_beta 101.34
_cell_angle_gamma 90.00
_symmetry_space_group_name_H-M 'P 1'
_symmetry_Int_Tables_number 1
_symmetry_space_group_name_Hall 'P 1'
loop_
_atom_site_label
_atom_site_type_symbol
_atom_site_fract_x
_atom_site_fract_y
_atom_site_fract_z
Dy1 Dy 0.051 0.000 0.156
Dy2 Dy 0.449 0.500 0.844
Dy3 Dy 0.551 0.500 0.156
Dy4 Dy 0.949 0.000 0.844
Pd1 Pd 0.155 0.500 0.965
Pd2 Pd 0.345 0.000 0.035
Pd3 Pd 0.655 0.000 0.965
Pd4 Pd 0.845 0.500 0.035
I1 I 0.227 0.000 0.674
I2 I 0.273 0.500 0.326
I3 I 0.727 0.500 0.674
I4 I 0.773 0.000 0.326
```

=====

The following is a DFT calculation (PBE) of a relaxed Y2PdAu crystal.

Geometry as CIF:
```
data_Y2PdAu
_cell_length_a 4.003
_cell_length_b 4.003
_cell_length_c 21.984
_cell_angle_alpha 90.00
_cell_angle_beta 90.00
_cell_angle_gamma 120.00
_symmetry_space_group_name_H-M 'P 1'
_symmetry_Int_Tables_number 1
_symmetry_space_group_name_Hall 'P 1'
loop_
_atom_site_label
_atom_site_type_symbol
_atom_site_fract_x
_atom_site_fract_y
_atom_site_fract_z
Y1 Y 0.000 0.000 0.000
Y2 Y 0.000 0.000 0.162
Y3 Y 0.333 0.667 0.667
Y4 Y 0.333 0.667 0.829
Y5 Y 0.667 0.333 0.333
Y6 Y 0.667 0.333 0.496
Pd1 Pd 0.000 0.000 0.416
Pd2 Pd 0.333 0.667 0.083
Pd3 Pd 0.667 0.333 0.750
Au1 Au 0.000 0.000 0.581
Au2 Au 0.333 0.667 0.248
Au3 Au 0.667 0.333 0.915
```

=====

The following is a DFT calculation (PBE) of a relaxed Sm7DyTl5 crystal.

Geometry as CIF:
```
data_Sm7DyTl5
_cell_length_a 8.441
_cell_length_b 8.441
_cell_length_c 8.441
_cell_angle_alpha 133.19
_cell_angle_beta 100.13
_cell_angle_gamma 98.03
_symmetry_space_group_name_H-M 'P 1'
_symmetry_Int_Tables_number 1
_symmetry_space_group_name_Hall 'P 1'
loop_
_atom_site_label
_atom_site_type_symbol
_atom_site_fract_x
_atom_site_fract_y
_atom_site_fract_z
Sm1 Sm 0.000 0.000 0.000
Sm2 Sm 0.294 0.629 0.664
Sm3 Sm 0.330 0.330 0.000
Sm4 Sm 0.426 0.114 0.313
Sm5 Sm 0.801 0.114 0.687
Sm6 Sm 0.855 0.355 0.500
Sm7 Sm 0.965 0.629 0.336
Dy1 Dy 0.669 0.669 0.000
Tl1 Tl 0.109 0.115 0.484
Tl2 Tl 0.109 0.625 0.994
Tl3 Tl 0.385 0.885 0.500
Tl4 Tl 0.631 0.115 0.006
Tl5 Tl 0.631 0.625 0.516
```

=====

The following is a DFT calculation (PBE) of a relaxed ReW crystal.

Output
Relative energy among the computed polymorphs in eV per formula unit: 2.566

Geometry as CIF:
```
data_ReW
_cell_length_a 4.350
_cell_length_b 4.350
_cell_length_c 5.176
_cell_angle_alpha 90.00
_cell_angle_beta 90.00
_cell_angle_gamma 120.00
_symmetry_space_group_name_H-M 'P 1'
_symmetry_Int_Tables_number 1
_symmetry_space_group_name_Hall 'P 1'
loop_
_atom_site_label
_atom_site_type_symbol
_atom_site_fract_x
_atom_site_fract_y
_atom_site_fract_z
Re1 Re 0.333 0.667 0.250
Re2 Re 0.667 0.333 0.750
W1 W 0.333 0.667 0.750
W2 W 0.667 0.333 0.250
```

=====

no.,VASP energy (eV/atom)
1,-4.820
2,-6.051
3,-3.972
4,-11.326